First-principles (PBE) data for a geometry-optimized Be2NiP structure, as listed in the Alexandria database.

a = 2.472 Å, b = 2.472 Å, c = 6.874 Å
α = 90.00°, β = 90.00°, γ = 90.00°
Element x y z (fractional)
Be 0.000 0.000 0.207
Be 0.000 0.000 0.793
Ni 0.500 0.500 0.000
P 0.500 0.500 0.500

Results
The calculation puts the formation energy at 0.2 eV per formula unit. The value obtained for the total magnetic moment is 0.000 μB/atom. The symmetry is No. 123. The value obtained for the total energy is -4.621 eV/atom.

=====

First-principles (PBE) data for a geometry-optimized Be2NiP structure, as listed in the Alexandria database.

a = 3.000 Å, b = 3.000 Å, c = 4.468 Å
α = 90.00°, β = 90.00°, γ = 90.00°
Element x y z (fractional)
Be 0.000 0.000 0.000
Be 0.500 0.500 0.243
Ni 0.000 0.000 0.497
P 0.500 0.500 0.750

Results
The calculation puts the formation energy at -0.4 eV per formula unit. The value obtained for the total magnetic moment is 0.000 μB/atom. The symmetry is No. 99. The value obtained for the total energy is -4.761 eV/atom.